1.
Material: TlGeF3
Method: DFT, GGA-PBE
State: optimized geometry

The space group is I-4m2 (No. 119) and the conventional cell measures 5.137, 5.137 and 14.411 Å, with angles of 90.00, 90.00 and 90.00 degrees. The inequivalent atoms are Tl at (0.000, 0.000, 0.110), Ge at (0.000, 0.000, 0.500), Ge at (0.000, 0.500, 0.250), F at (0.000, 0.240, 0.359) and F at (0.000, 0.500, 0.535).

The relative energy among the computed polymorphs is 1.95 eV per formula unit. The value obtained for the total energy is -83.33 eV per cell. The calculation puts the raw formation energy at -1.65 eV per atom.

---

2.
Material: TlGeF3
Method: DFT, GGA-PBE
State: optimized geometry

The space group is I-4m2 (No. 119) and the conventional cell measures 4.838, 4.838 and 16.544 Å, with angles of 90.00, 90.00 and 90.00 degrees. The inequivalent atoms are Tl at (0.000, 0.000, 0.000), Tl at (0.000, 0.500, 0.250), Ge at (0.000, 0.500, 0.664), F at (0.000, 0.000, 0.305) and F at (0.000, 0.239, 0.146).

The relative energy among the computed polymorphs is 3.51 eV per formula unit. The value obtained for the total energy is -77.09 eV per cell. The calculation puts the raw formation energy at -1.33 eV per atom.

---

3.
Material: TlGeF3
Method: DFT, GGA-PBE
State: optimized geometry

The space group is R3m (No. 160, hexagonal axes) and the conventional cell measures 6.3530, 6.3530 and 9.7493 Å, with angles of 90.00, 90.00 and 120.00 degrees. The inequivalent atoms are Tl at (0.0000, 0.0000, 0.0000), Ge at (0.0000, 0.0000, 0.3995) and F at (0.0459, 0.5230, 0.1687).

The relative energy among the computed polymorphs is 0.21 eV per formula unit. The value obtained for the total energy is -67.70 eV per cell. The calculation puts the raw formation energy at -1.99 eV per atom.

---

4.
Material: Tl2GeF6
Method: DFT, GGA-PBE
State: optimized geometry

The space group is P2_1/c (No. 14) and the conventional cell measures 5.945, 7.893 and 8.140 Å, with angles of 90.00, 118.27 and 90.00 degrees. The inequivalent atoms are Tl at (0.186, 0.066, 0.316), Ge at (0.500, 0.000, 0.000), F at (0.219, 0.112, 0.990), F at (0.321, 0.700, 0.447) and F at (0.374, 0.038, 0.750).

The value obtained for the total energy is -81.92 eV per cell. The calculation puts the raw formation energy at -2.26 eV per atom.

---

5.
Material: TlGeF3
Method: DFT, GGA-PBE
State: optimized geometry

The space group is Pnma (No. 62) and the conventional cell measures 6.317, 8.934 and 6.347 Å, with angles of 90.00, 90.00 and 90.00 degrees. The inequivalent atoms are Tl at (0.005, 0.250, 0.003), Ge at (0.000, 0.000, 0.500), F at (0.002, 0.750, 0.457) and F at (0.242, 0.524, 0.758).

The relative energy among the computed polymorphs is 0.64 eV per formula unit. The value obtained for the total energy is -88.56 eV per cell. The calculation puts the raw formation energy at -1.91 eV per atom.

---

6.
Material: TlGe2F8
Method: DFT, GGA-PBE
State: optimized geometry

The space group is C2/m (No. 12) and the conventional cell measures 11.945, 6.035 and 5.173 Å, with angles of 90.00, 98.20 and 90.00 degrees. The inequivalent atoms are Tl at (0.000, 0.000, 0.000), Ge at (0.160, 0.500, 0.630), F at (0.034, 0.500, 0.776), F at (0.142, 0.227, 0.487) and F at (0.243, 0.000, 0.076).

The relative energy among the computed polymorphs is 0.53 eV per formula unit. The value obtained for the total energy is -99.24 eV per cell. The calculation puts the raw formation energy at -2.10 eV per atom.

---

7.
Material: Tl5Ge2F12
Method: DFT, GGA-PBE
State: optimized geometry

The space group is C2/m (No. 12) and the conventional cell measures 14.141, 6.384 and 8.834 Å, with angles of 90.00, 92.00 and 90.00 degrees. The inequivalent atoms are Tl at (0.000, 0.000, 0.000), Tl at (0.204, 0.500, 0.859), Tl at (0.217, 0.500, 0.273), Ge at (0.000, 0.249, 0.500), F at (0.000, 0.000, 0.359), F at (0.003, 0.500, 0.359), F at (0.128, 0.250, 0.511) and F at (0.153, 0.253, 0.069).

The value obtained for the total energy is -161.03 eV per cell. The calculation puts the raw formation energy at -1.95 eV per atom.

---

8.
Material: TlGeF3
Method: DFT, GGA-PBE
State: optimized geometry

The space group is P6_3/mmc (No. 194) and the conventional cell measures 4.3591, 4.3591 and 9.7901 Å, with angles of 90.00, 90.00 and 120.00 degrees. The inequivalent atoms are Tl at (0.3333, 0.6667, 0.2500), Ge at (0.0000, 0.0000, 0.0000), F at (0.0000, 0.0000, 0.2500) and F at (0.3333, 0.6667, 0.5499).

The relative energy among the computed polymorphs is 1.93 eV per formula unit. The value obtained for the total energy is -41.70 eV per cell. The calculation puts the raw formation energy at -1.65 eV per atom.

---

Q: What is the formula in the first record?
A: TlGeF3

---

Q: Which value of raw formation energy does entry 8 give?
A: -1.65 eV per atom

---

Q: Which formula does entry 8 have?
A: TlGeF3

---

Q: What is the formula in the fourth record?
A: Tl2GeF6